! Li4Zn2CuAu PBE optimized geometry; values from VASP
&SYSTEM
  ibrav = 0, nat = 8, ntyp = 4
/
ATOMIC_SPECIES
Au 196.97 Au.upf
Cu 63.55 Cu.upf
Li 6.94 Li.upf
Zn 65.41 Zn.upf
CELL_PARAMETERS angstrom
-1.2369 0.9810 3.9609
3.6836 -1.5122 1.5248
2.4895 5.4796 -0.5797
ATOMIC_POSITIONS crystal
Au 0.0000 0.0000 0.0000
Cu 0.5000 0.5000 0.5000
Li 0.5000 0.5000 0.0000
Li 0.5000 0.0000 0.2570
Li 0.0000 0.0000 0.5000
Li 0.0000 0.5000 0.7430
Zn 0.0000 0.5000 0.2679
Zn 0.5000 0.0000 0.7321
! Symmetry: P-4m2 (115)
! Total DFT energy (no corrections), Ry/atom: -0.1785